No. 1
Entry from the Alexandria database: a geometry-optimized GaSbO2F structure (GGA-PBEsol).

CIF file:
```
data_GaSbO2F
_chemical_formula_sum 'Ga1 Sb1 O2 F1'
_cell_length_a 4.109
_cell_length_b 4.109
_cell_length_c 4.379
_cell_angle_alpha 90.00
_cell_angle_beta 90.00
_cell_angle_gamma 90.00
_symmetry_space_group_name_H-M 'P 1'
_symmetry_Int_Tables_number 1
loop_
_symmetry_equiv_pos_as_xyz
'x,y,z'
loop_
_atom_site_label
_atom_site_fract_x
_atom_site_fract_y
_atom_site_fract_z
Ga1 0.000 0.000 0.000
Sb1 0.500 0.500 0.500
O1 0.000 0.500 0.500
O2 0.500 0.000 0.500
F1 0.500 0.500 0.000
```

* symmetry: P4/mmm
* electronic total energy: -5.25 eV/atom
* crystal system: tetragonal
* DOS(E_F): 0.6 states/eV/cell
* uncorrected formation energy: -1.18 eV per atom

=====

No. 2
Entry from the Alexandria database: a geometry-optimized Sr3GaO4F structure (GGA-PBEsol).

CIF file:
```
data_Sr3GaO4F
_chemical_formula_sum 'Sr6 Ga2 O8 F2'
_cell_length_a 7.406
_cell_length_b 7.406
_cell_length_c 7.406
_cell_angle_alpha 125.96
_cell_angle_beta 125.96
_cell_angle_gamma 79.95
_symmetry_space_group_name_H-M 'P 1'
_symmetry_Int_Tables_number 1
loop_
_symmetry_equiv_pos_as_xyz
'x,y,z'
loop_
_atom_site_label
_atom_site_fract_x
_atom_site_fract_y
_atom_site_fract_z
Sr1 0.166 0.666 0.833
Sr2 0.250 0.250 0.000
Sr3 0.334 0.166 0.500
Sr4 0.666 0.834 0.500
Sr5 0.750 0.750 0.000
Sr6 0.834 0.334 0.167
Ga1 0.250 0.750 0.500
Ga2 0.750 0.250 0.500
O1 0.005 0.207 0.500
O2 0.207 0.707 0.202
O3 0.293 0.495 0.500
O4 0.495 0.995 0.202
O5 0.505 0.005 0.798
O6 0.707 0.505 0.500
O7 0.793 0.293 0.798
O8 0.995 0.793 0.500
F1 0.000 0.000 0.000
F2 0.500 0.500 0.000
```

* symmetry: I4/mcm
* electronic total energy: -6.34 eV/atom
* crystal system: tetragonal
* DOS(E_F): 0.0 states/eV/cell
* uncorrected formation energy: -2.81 eV per atom

=====

No. 3
Entry from the Alexandria database: a geometry-optimized SrGaO2F structure (GGA-PBEsol).

CIF file:
```
data_SrGaO2F
_chemical_formula_sum 'Sr1 Ga1 O2 F1'
_cell_length_a 3.863
_cell_length_b 3.863
_cell_length_c 3.987
_cell_angle_alpha 90.00
_cell_angle_beta 90.00
_cell_angle_gamma 90.00
_symmetry_space_group_name_H-M 'P 1'
_symmetry_Int_Tables_number 1
loop_
_symmetry_equiv_pos_as_xyz
'x,y,z'
loop_
_atom_site_label
_atom_site_fract_x
_atom_site_fract_y
_atom_site_fract_z
Sr1 0.000 0.000 0.000
Ga1 0.500 0.500 0.500
O1 0.000 0.500 0.500
O2 0.500 0.000 0.500
F1 0.500 0.500 0.000
```

* symmetry: P4/mmm
* electronic total energy: -6.10 eV/atom
* crystal system: tetragonal
* DOS(E_F): 0.0 states/eV/cell
* uncorrected formation energy: -2.57 eV per atom

=====

No. 4
Entry from the Alexandria database: a geometry-optimized TaGaOF2 structure (GGA-PBEsol).

CIF file:
```
data_TaGaOF2
_chemical_formula_sum 'Ta1 Ga1 O1 F2'
_cell_length_a 4.339
_cell_length_b 4.339
_cell_length_c 3.465
_cell_angle_alpha 90.00
_cell_angle_beta 90.00
_cell_angle_gamma 90.00
_symmetry_space_group_name_H-M 'P 1'
_symmetry_Int_Tables_number 1
loop_
_symmetry_equiv_pos_as_xyz
'x,y,z'
loop_
_atom_site_label
_atom_site_fract_x
_atom_site_fract_y
_atom_site_fract_z
Ta1 0.000 0.000 0.000
Ga1 0.500 0.500 0.500
O1 0.500 0.500 0.000
F1 0.000 0.500 0.500
F2 0.500 0.000 0.500
```

* symmetry: P4/mmm
* electronic total energy: -5.57 eV/atom
* polymorph energy (0 for the lowest one): 112.3 kJ per mole of atoms
* crystal system: tetragonal
* DOS(E_F): 3.5 states/eV/cell
* uncorrected formation energy: -0.57 eV per atom

=====

No. 5
Entry from the Alexandria database: a geometry-optimized TaGaOF2 structure (GGA-PBEsol).

CIF file:
```
data_TaGaOF2
_chemical_formula_sum 'Ta1 Ga1 O1 F2'
_cell_length_a 4.232
_cell_length_b 4.232
_cell_length_c 3.927
_cell_angle_alpha 90.00
_cell_angle_beta 90.00
_cell_angle_gamma 90.00
_symmetry_space_group_name_H-M 'P 1'
_symmetry_Int_Tables_number 1
loop_
_symmetry_equiv_pos_as_xyz
'x,y,z'
loop_
_atom_site_label
_atom_site_fract_x
_atom_site_fract_y
_atom_site_fract_z
Ta1 0.000 0.000 0.000
Ga1 0.500 0.500 0.500
O1 0.000 0.000 0.500
F1 0.000 0.500 0.000
F2 0.500 0.000 0.000
```

* symmetry: P4/mmm
* electronic total energy: -6.74 eV/atom
* polymorph energy (0 for the lowest one): 0.0 kJ per mole of atoms
* crystal system: tetragonal
* DOS(E_F): 3.5 states/eV/cell
* uncorrected formation energy: -1.74 eV per atom

=====

No. 6
Entry from the Alexandria database: a geometry-optimized TiGaOF2 structure (GGA-PBEsol).

CIF file:
```
data_TiGaOF2
_chemical_formula_sum 'Ti1 Ga1 O1 F2'
_cell_length_a 4.063
_cell_length_b 4.063
_cell_length_c 3.731
_cell_angle_alpha 90.00
_cell_angle_beta 90.00
_cell_angle_gamma 90.00
_symmetry_space_group_name_H-M 'P 1'
_symmetry_Int_Tables_number 1
loop_
_symmetry_equiv_pos_as_xyz
'x,y,z'
loop_
_atom_site_label
_atom_site_fract_x
_atom_site_fract_y
_atom_site_fract_z
Ti1 0.000 0.000 0.000
Ga1 0.500 0.500 0.500
O1 0.500 0.500 0.000
F1 0.000 0.500 0.500
F2 0.500 0.000 0.500
```

* symmetry: P4/mmm
* electronic total energy: -5.54 eV/atom
* crystal system: tetragonal
* DOS(E_F): 6.0 states/eV/cell
* uncorrected formation energy: -1.39 eV per atom

=====

No. 7
Entry from the Alexandria database: a geometry-optimized TlGaOF2 structure (GGA-PBEsol).

CIF file:
```
data_TlGaOF2
_chemical_formula_sum 'Tl1 Ga1 O1 F2'
_cell_length_a 4.533
_cell_length_b 4.533
_cell_length_c 4.056
_cell_angle_alpha 90.00
_cell_angle_beta 90.00
_cell_angle_gamma 90.00
_symmetry_space_group_name_H-M 'P 1'
_symmetry_Int_Tables_number 1
loop_
_symmetry_equiv_pos_as_xyz
'x,y,z'
loop_
_atom_site_label
_atom_site_fract_x
_atom_site_fract_y
_atom_site_fract_z
Tl1 0.000 0.000 0.000
Ga1 0.500 0.500 0.500
O1 0.000 0.000 0.500
F1 0.000 0.500 0.000
F2 0.500 0.000 0.000
```

* symmetry: P4/mmm
* electronic total energy: -4.13 eV/atom
* crystal system: tetragonal
* DOS(E_F): 0.2 states/eV/cell
* uncorrected formation energy: -1.12 eV per atom

=====

No. 8
Entry from the Alexandria database: a geometry-optimized ZnGaOF2 structure (GGA-PBEsol).

CIF file:
```
data_ZnGaOF2
_chemical_formula_sum 'Zn1 Ga1 O1 F2'
_cell_length_a 3.905
_cell_length_b 3.905
_cell_length_c 4.007
_cell_angle_alpha 90.00
_cell_angle_beta 90.00
_cell_angle_gamma 90.00
_symmetry_space_group_name_H-M 'P 1'
_symmetry_Int_Tables_number 1
loop_
_symmetry_equiv_pos_as_xyz
'x,y,z'
loop_
_atom_site_label
_atom_site_fract_x
_atom_site_fract_y
_atom_site_fract_z
Zn1 0.000 0.000 0.000
Ga1 0.500 0.500 0.500
O1 0.000 0.000 0.500
F1 0.000 0.500 0.000
F2 0.500 0.000 0.000
```

* symmetry: P4/mmm
* electronic total energy: -4.14 eV/atom
* crystal system: tetragonal
* DOS(E_F): 2.8 states/eV/cell
* uncorrected formation energy: -1.33 eV per atom

=====

No. 9
Entry from the Alexandria database: a geometry-optimized Ga2OsPbF structure (GGA-PBEsol).

CIF file:
```
data_Ga2OsPbF
_chemical_formula_sum 'Ga2 Os1 Pb1 F1'
_cell_length_a 4.700
_cell_length_b 4.700
_cell_length_c 4.109
_cell_angle_alpha 90.00
_cell_angle_beta 90.00
_cell_angle_gamma 90.00
_symmetry_space_group_name_H-M 'P 1'
_symmetry_Int_Tables_number 1
loop_
_symmetry_equiv_pos_as_xyz
'x,y,z'
loop_
_atom_site_label
_atom_site_fract_x
_atom_site_fract_y
_atom_site_fract_z
Ga1 0.000 0.500 0.000
Ga2 0.500 0.000 0.000
Os1 0.000 0.000 0.500
Pb1 0.500 0.500 0.500
F1 0.000 0.000 0.000
```

* symmetry: P4/mmm
* electronic total energy: -4.52 eV/atom
* crystal system: tetragonal
* DOS(E_F): 2.8 states/eV/cell
* uncorrected formation energy: 0.44 eV per atom

=====

No. 10
Entry from the Alexandria database: a geometry-optimized GaP2SF structure (GGA-PBEsol).

CIF file:
```
data_GaP2SF
_chemical_formula_sum 'Ga1 P2 S1 F1'
_cell_length_a 4.639
_cell_length_b 4.639
_cell_length_c 4.546
_cell_angle_alpha 90.00
_cell_angle_beta 90.00
_cell_angle_gamma 90.00
_symmetry_space_group_name_H-M 'P 1'
_symmetry_Int_Tables_number 1
loop_
_symmetry_equiv_pos_as_xyz
'x,y,z'
loop_
_atom_site_label
_atom_site_fract_x
_atom_site_fract_y
_atom_site_fract_z
Ga1 0.000 0.000 0.000
P1 0.000 0.500 0.000
P2 0.500 0.000 0.000
S1 0.000 0.000 0.500
F1 0.500 0.500 0.500
```

* symmetry: P4/mmm
* electronic total energy: -3.55 eV/atom
* crystal system: tetragonal
* DOS(E_F): 2.9 states/eV/cell
* uncorrected formation energy: 0.70 eV per atom

=====

No. 11
Entry from the Alexandria database: a geometry-optimized GaPbF5 structure (GGA-PBEsol).

CIF file:
```
data_GaPbF5
_chemical_formula_sum 'Ga8 Pb8 F40'
_cell_length_a 10.883
_cell_length_b 10.883
_cell_length_c 10.883
_cell_angle_alpha 96.65
_cell_angle_beta 96.65
_cell_angle_gamma 140.22
_symmetry_space_group_name_H-M 'P 1'
_symmetry_Int_Tables_number 1
loop_
_symmetry_equiv_pos_as_xyz
'x,y,z'
loop_
_atom_site_label
_atom_site_fract_x
_atom_site_fract_y
_atom_site_fract_z
Ga1 0.000 0.000 0.000
Ga2 0.082 0.564 0.148
Ga3 0.248 0.748 0.500
Ga4 0.415 0.934 0.852
Ga5 0.496 0.496 0.000
Ga6 0.564 0.415 0.482
Ga7 0.748 0.248 0.500
Ga8 0.934 0.082 0.518
Pb1 0.007 0.316 0.827
Pb2 0.180 0.007 0.691
Pb3 0.316 0.490 0.309
Pb4 0.490 0.180 0.173
Pb5 0.523 0.702 0.728
Pb6 0.702 0.974 0.179
Pb7 0.795 0.523 0.821
Pb8 0.974 0.795 0.272
F1 0.009 0.976 0.487
F2 0.018 0.213 0.389
F3 0.038 0.117 0.167
F4 0.117 0.950 0.079
F5 0.134 0.813 0.450
F6 0.178 0.832 0.863
F7 0.182 0.319 0.653
F8 0.201 0.627 0.332
F9 0.213 0.824 0.195
F10 0.248 0.248 0.000
F11 0.284 0.673 0.806
F12 0.295 0.869 0.668
F13 0.315 0.178 0.346
F14 0.319 0.666 0.137
F15 0.363 0.684 0.550
F16 0.379 0.546 0.921
F17 0.458 0.379 0.833
F18 0.479 0.284 0.612
F19 0.489 0.522 0.513
F20 0.498 0.998 0.500
F21 0.522 0.009 0.033
F22 0.529 0.182 0.863
F23 0.546 0.625 0.167
F24 0.625 0.458 0.079
F25 0.627 0.295 0.426
F26 0.630 0.018 0.805
F27 0.666 0.529 0.347
F28 0.673 0.867 0.388
F29 0.684 0.134 0.321
F30 0.748 0.748 0.000
F31 0.813 0.363 0.679
F32 0.824 0.630 0.611
F33 0.832 0.969 0.654
F34 0.867 0.479 0.194
F35 0.869 0.201 0.574
F36 0.872 0.038 0.921
F37 0.950 0.872 0.833
F38 0.969 0.315 0.137
F39 0.976 0.489 0.967
F40 0.998 0.498 0.500
```

* symmetry: I4
* electronic total energy: -4.95 eV/atom
* crystal system: tetragonal
* DOS(E_F): 0.0 states/eV/cell
* uncorrected formation energy: -2.53 eV per atom

=====

No. 12
Entry from the Alexandria database: a geometry-optimized GaSiPtF2 structure (GGA-PBEsol).

CIF file:
```
data_GaSiPtF2
_chemical_formula_sum 'Ga1 Si1 Pt1 F2'
_cell_length_a 3.693
_cell_length_b 3.693
_cell_length_c 5.075
_cell_angle_alpha 90.00
_cell_angle_beta 90.00
_cell_angle_gamma 90.00
_symmetry_space_group_name_H-M 'P 1'
_symmetry_Int_Tables_number 1
loop_
_symmetry_equiv_pos_as_xyz
'x,y,z'
loop_
_atom_site_label
_atom_site_fract_x
_atom_site_fract_y
_atom_site_fract_z
Ga1 0.000 0.000 0.000
Si1 0.500 0.500 0.500
Pt1 0.500 0.500 0.000
F1 0.000 0.500 0.500
F2 0.500 0.000 0.500
```

* symmetry: P4/mmm
* electronic total energy: -5.29 eV/atom
* crystal system: tetragonal
* DOS(E_F): 2.3 states/eV/cell
* uncorrected formation energy: -1.31 eV per atom